Record 1
Density functional theory data (PBE) for SrAc4Sn4 after structural relaxation.

a b c (Å): 6.8028 10.4256 10.4256
angles (deg): 90.00 90.00 90.00
Closest atoms and distances in Å follow each position.
Atoms (fractional coordinates):
Sr (0.0000, 0.0000, 0.0000)  4 Sn 3.27
Sr (0.5000, 0.5000, 0.5000)  4 Sn 3.27
Ac (0.3720, 0.3274, 0.9047)  5 Sn 3.40-3.51
Ac (0.8720, 0.5953, 0.8274)  5 Sn 3.40-3.51
Ac (0.3720, 0.6726, 0.0953)  5 Sn 3.40-3.51
Ac (0.1280, 0.1726, 0.5953)  5 Sn 3.40-3.51
Ac (0.6280, 0.9047, 0.6726)  5 Sn 3.40-3.51
Ac (0.1280, 0.8274, 0.4047)  5 Sn 3.40-3.51
Ac (0.8720, 0.4047, 0.1726)  5 Sn 3.40-3.51
Ac (0.6280, 0.0953, 0.3274)  5 Sn 3.40-3.51
Sn (0.6314, 0.7718, 0.3694)  1 Sn 3.00, 1 Sr 3.27
Sn (0.6314, 0.2282, 0.6306)  1 Sn 3.00, 1 Sr 3.27
Sn (0.1314, 0.8694, 0.7282)  1 Sn 3.00, 1 Sr 3.27
Sn (0.8686, 0.2718, 0.8694)  1 Sn 3.00, 1 Sr 3.27
Sn (0.8686, 0.7282, 0.1306)  1 Sn 3.00, 1 Sr 3.27
Sn (0.3686, 0.3694, 0.2282)  1 Sn 3.00, 1 Sr 3.27
Sn (0.3686, 0.6306, 0.7718)  1 Sn 3.00, 1 Sr 3.27
Sn (0.1314, 0.1306, 0.2718)  1 Sn 3.00, 1 Sr 3.27

- Total magnetization: 0.000 μB per cell
- ΔH_f (0 K): -0.479 eV/atom

Record 2
Density functional theory data (PBE) for SrAc2Sn after structural relaxation.

a b c (Å): 5.2429 5.3813 5.3813
angles (deg): 90.00 90.00 90.00
Closest atoms and distances in Å follow each position.
Atoms (fractional coordinates):
Sr (0.5000, 0.5000, 0.5000)  8 Ac 3.76, 4 Sn 3.81
Ac (0.0000, 0.0000, 0.5000)  4 Sn 3.76, 4 Sr 3.76, 4 Ac 3.81
Ac (0.0000, 0.5000, 0.0000)  4 Sn 3.76, 4 Sr 3.76, 4 Ac 3.81
Sn (0.5000, 0.0000, 0.0000)  8 Ac 3.76, 4 Sr 3.81

- Total magnetization: 0.000 μB per cell
- ΔH_f (0 K): -0.285 eV/atom

Record 3
Density functional theory data (PBE) for SrAc3Sn2 after structural relaxation.

a b c (Å): 5.0032 11.3737 10.5237
angles (deg): 125.06 90.00 102.71
Closest atoms and distances in Å follow each position.
Atoms (fractional coordinates):
Sr (0.8887, 0.7774, 0.8988)  6 Sn 3.46-3.68
Sr (0.1113, 0.2226, 0.1012)  6 Sn 3.46-3.68
Ac (0.3078, 0.6157, 0.5007)  3 Sn 3.43-3.55, 4 Ac 3.58-3.70
Ac (0.9517, 0.9035, 0.5940)  3 Sn 3.36-3.70, 3 Ac 3.67-3.70
Ac (0.6503, 0.3007, 0.8224)  4 Sn 3.49-3.63
Ac (0.3497, 0.6993, 0.1776)  4 Sn 3.49-3.63
Ac (0.0483, 0.0965, 0.4060)  3 Sn 3.36-3.70, 3 Ac 3.67-3.70
Ac (0.6922, 0.3843, 0.4993)  3 Sn 3.43-3.55, 4 Ac 3.58-3.70
Sn (0.4940, 0.9880, 0.8469)  1 Sn 3.07, 2 Ac 3.36
Sn (0.5060, 0.0120, 0.1531)  1 Sn 3.07, 2 Ac 3.36
Sn (0.7579, 0.5157, 0.2331)  6 Ac 3.43-3.70, 2 Sr 3.67
Sn (0.2421, 0.4843, 0.7669)  6 Ac 3.43-3.70, 2 Sr 3.67

- Total magnetization: 0.000 μB per cell
- ΔH_f (0 K): -0.431 eV/atom

Record 4
Density functional theory data (PBE) for SrAcSn after structural relaxation.

a b c (Å): 5.6113 5.6128 9.8507
angles (deg): 106.54 90.00 119.99
Closest atoms and distances in Å follow each position.
Atoms (fractional coordinates):
Sr (0.6271, 0.2542, 0.3813)  4 Sn 3.45-3.47
Sr (0.3729, 0.7458, 0.6187)  4 Sn 3.45-3.47
Ac (0.8762, 0.7525, 0.1286)  4 Sn 3.42-3.50
Ac (0.1238, 0.2475, 0.8714)  4 Sn 3.42-3.50
Sn (0.7507, 0.5014, 0.7523)  4 Ac 3.42-3.50, 4 Sr 3.45-3.47
Sn (0.2493, 0.4986, 0.2477)  4 Ac 3.42-3.50, 4 Sr 3.45-3.47

- Total magnetization: 0.948 μB per cell
- ΔH_f (0 K): -0.460 eV/atom

Record 5
Density functional theory data (PBE) for Sr2Ac2Sn15 after structural relaxation.

a b c (Å): 8.6863 8.6863 8.6863
angles (deg): 75.03 75.03 75.03
Closest atoms and distances in Å follow each position.
Atoms (fractional coordinates):
Sr (0.3490, 0.3490, 0.3490)  9 Sn 3.60-3.75
Sr (0.6510, 0.6510, 0.6510)  9 Sn 3.60-3.75
Ac (0.1064, 0.1064, 0.1064)  3 Sn 3.25
Ac (0.8936, 0.8936, 0.8936)  3 Sn 3.25
Sn (0.0000, 0.0000, 0.5000)  8 Sn 3.19-3.48, 2 Ac 3.25
Sn (0.5000, 0.0000, 0.0000)  8 Sn 3.19-3.48, 2 Ac 3.25
Sn (0.0000, 0.5000, 0.0000)  8 Sn 3.19-3.48, 2 Ac 3.25
Sn (0.2954, 0.7046, 0.0000)  6 Sn 3.13-3.48
Sn (0.0000, 0.2954, 0.7046)  6 Sn 3.13-3.48
Sn (0.7046, 0.0000, 0.2954)  6 Sn 3.13-3.48
Sn (0.0000, 0.7046, 0.2954)  6 Sn 3.13-3.48
Sn (0.2954, 0.0000, 0.7046)  6 Sn 3.13-3.48
Sn (0.7046, 0.2954, 0.0000)  6 Sn 3.13-3.48
Sn (0.6210, 0.6210, 0.1366)  6 Sn 3.19-3.32
Sn (0.1366, 0.6210, 0.6210)  6 Sn 3.19-3.32
Sn (0.6210, 0.1366, 0.6210)  6 Sn 3.19-3.32
Sn (0.3790, 0.3790, 0.8634)  6 Sn 3.19-3.32
Sn (0.8634, 0.3790, 0.3790)  6 Sn 3.19-3.32
Sn (0.3790, 0.8634, 0.3790)  6 Sn 3.19-3.32

- Total magnetization: 0.000 μB per cell
- ΔH_f (0 K): -0.259 eV/atom

Record 6
Density functional theory data (PBE) for SrAc3Sn3 after structural relaxation.

a b c (Å): 10.0828 10.0828 8.8938
angles (deg): 55.47 55.47 60.00
Closest atoms and distances in Å follow each position.
Atoms (fractional coordinates):
Sr (0.3315, 0.3315, 0.0054)  6 Sn 3.50-3.59
Sr (0.6685, 0.6685, 0.9946)  6 Sn 3.50-3.59
Ac (0.3815, 0.7945, 0.7278)  5 Sn 3.38-3.45
Ac (0.7945, 0.0962, 0.7278)  5 Sn 3.38-3.45
Ac (0.0962, 0.3815, 0.7278)  5 Sn 3.38-3.45
Ac (0.9038, 0.6185, 0.2722)  5 Sn 3.38-3.45
Ac (0.2055, 0.9038, 0.2722)  5 Sn 3.38-3.45
Ac (0.6185, 0.2055, 0.2722)  5 Sn 3.38-3.45
Sn (0.2885, 0.5574, 0.2251)  5 Ac 3.38-3.45, 2 Sr 3.50-3.59
Sn (0.9291, 0.2885, 0.2251)  5 Ac 3.38-3.45, 2 Sr 3.50-3.59
Sn (0.5574, 0.9291, 0.2251)  5 Ac 3.38-3.45, 2 Sr 3.50-3.59
Sn (0.4426, 0.0709, 0.7749)  5 Ac 3.38-3.45, 2 Sr 3.50-3.59
Sn (0.0709, 0.7115, 0.7749)  5 Ac 3.38-3.45, 2 Sr 3.50-3.59
Sn (0.7115, 0.4426, 0.7749)  5 Ac 3.38-3.45, 2 Sr 3.50-3.59

- Total magnetization: 0.000 μB per cell
- ΔH_f (0 K): -0.539 eV/atom

Record 7
Density functional theory data (PBE) for SrAc3Sn after structural relaxation.

a b c (Å): 6.7422 9.8194 13.0613
angles (deg): 84.64 90.00 90.00
Closest atoms and distances in Å follow each position.
Atoms (fractional coordinates):
Sr (0.4957, 0.3503, 0.2645)  1 Sn 3.46, 1 Ac 3.86
Sr (0.5043, 0.6497, 0.7355)  1 Sn 3.46, 1 Ac 3.86
Sr (0.9957, 0.6497, 0.2355)  1 Sn 3.46, 1 Ac 3.86
Sr (0.0043, 0.3503, 0.7645)  1 Sn 3.46, 1 Ac 3.86
Ac (0.1456, 0.9997, 0.3460)  4 Sn 3.46-3.54, 1 Ac 3.74
Ac (0.8544, 0.0003, 0.6540)  4 Sn 3.46-3.54, 1 Ac 3.74
Ac (0.6456, 0.0003, 0.1540)  4 Sn 3.46-3.54, 1 Ac 3.74
Ac (0.3544, 0.9997, 0.8460)  4 Sn 3.46-3.54, 1 Ac 3.74
Ac (0.0314, 0.2931, 0.0865)  2 Sn 3.52-3.61, 3 Ac 3.83-3.94
Ac (0.9686, 0.7069, 0.9135)  2 Sn 3.52-3.61, 3 Ac 3.83-3.94
Ac (0.5314, 0.7069, 0.4135)  2 Sn 3.52-3.61, 3 Ac 3.83-3.94
Ac (0.4686, 0.2931, 0.5865)  2 Sn 3.52-3.61, 3 Ac 3.83-3.94
Ac (0.4592, 0.6747, 0.0614)  1 Sn 3.42, 2 Ac 3.74-3.83
Ac (0.5408, 0.3253, 0.9386)  1 Sn 3.42, 2 Ac 3.74-3.83
Ac (0.9592, 0.3253, 0.4386)  1 Sn 3.42, 2 Ac 3.74-3.83
Ac (0.0408, 0.6747, 0.5614)  1 Sn 3.42, 2 Ac 3.74-3.83
Sn (0.8536, 0.0566, 0.9113)  1 Sn 3.17, 6 Ac 3.42-3.54, 1 Sr 3.46
Sn (0.1464, 0.9434, 0.0887)  1 Sn 3.17, 6 Ac 3.42-3.54, 1 Sr 3.46
Sn (0.3536, 0.9434, 0.5887)  1 Sn 3.17, 6 Ac 3.42-3.54, 1 Sr 3.46
Sn (0.6464, 0.0566, 0.4113)  1 Sn 3.17, 6 Ac 3.42-3.54, 1 Sr 3.46

- Total magnetization: 0.000 μB per cell
- ΔH_f (0 K): -0.196 eV/atom

Record 8
Density functional theory data (PBE) for SrAcSn after structural relaxation.

a b c (Å): 3.9347 3.9347 8.1952
angles (deg): 103.89 103.89 90.00
Closest atoms and distances in Å follow each position.
Atoms (fractional coordinates):
Sr (0.0273, 0.0273, 0.0546)  4 Sn 3.53, 4 Sr 3.93
Ac (0.3049, 0.3049, 0.6098)  4 Sn 3.49
Sn (0.6678, 0.6678, 0.3357)  4 Ac 3.49, 4 Sr 3.53

- Total magnetization: 0.000 μB per cell
- ΔH_f (0 K): -0.386 eV/atom

Record 9
Density functional theory data (PBE) for SrAc2Sn after structural relaxation.

a b c (Å): 4.5081 4.5081 12.3804
angles (deg): 79.51 79.51 60.00
Closest atoms and distances in Å follow each position.
Atoms (fractional coordinates):
Sr (0.0000, 0.0000, 0.0000)  2 Ac 4.10, 6 Sr 4.51
Ac (0.1128, 0.1128, 0.6616)  3 Sn 3.26
Ac (0.8872, 0.8872, 0.3384)  3 Sn 3.26
Sn (0.5000, 0.5000, 0.5000)  6 Ac 3.26

- Total magnetization: 0.453 μB per cell
- ΔH_f (0 K): -0.020 eV/atom

Record 10
Density functional theory data (PBE) for Sr3Ac2Sn4 after structural relaxation.

a b c (Å): 8.4029 8.9517 8.9832
angles (deg): 90.00 90.00 106.17
Closest atoms and distances in Å follow each position.
Atoms (fractional coordinates):
Sr (0.0000, 0.5000, 0.5000)  6 Sn 3.38-3.64
Sr (0.5000, 0.5000, 0.0000)  6 Sn 3.38-3.64
Sr (0.7506, 0.2447, 0.8241)  6 Sn 3.30-3.44
Sr (0.7494, 0.7553, 0.3241)  6 Sn 3.30-3.44
Sr (0.2494, 0.7553, 0.1759)  6 Sn 3.30-3.44
Sr (0.2506, 0.2447, 0.6759)  6 Sn 3.30-3.44
Ac (0.5777, 0.1953, 0.3112)  5 Sn 3.48-3.64
Ac (0.9223, 0.8047, 0.8112)  5 Sn 3.48-3.64
Ac (0.4223, 0.8047, 0.6888)  5 Sn 3.48-3.64
Ac (0.0777, 0.1953, 0.1888)  5 Sn 3.48-3.64
Sn (0.8629, 0.0775, 0.5300)  1 Sn 3.05, 2 Sr 3.30-3.33
Sn (0.6371, 0.9225, 0.0300)  1 Sn 3.05, 2 Sr 3.30-3.33
Sn (0.1371, 0.9225, 0.4700)  1 Sn 3.05, 2 Sr 3.30-3.33
Sn (0.3629, 0.0775, 0.9700)  1 Sn 3.05, 2 Sr 3.30-3.33
Sn (0.8768, 0.4875, 0.1215)  1 Sn 2.98
Sn (0.6232, 0.5125, 0.6215)  1 Sn 2.98
Sn (0.1232, 0.5125, 0.8785)  1 Sn 2.98
Sn (0.3768, 0.4875, 0.3785)  1 Sn 2.98

- Total magnetization: 0.000 μB per cell
- ΔH_f (0 K): -0.706 eV/atom

Record 11
Density functional theory data (PBE) for Sr3AcSn12 after structural relaxation.

a b c (Å): 4.8687 4.8687 19.6067
angles (deg): 90.00 90.00 90.00
Closest atoms and distances in Å follow each position.
Atoms (fractional coordinates):
Sr (0.0000, 0.0000, 0.2511)  12 Sn 3.43-3.45
Sr (0.0000, 0.0000, 0.5000)  12 Sn 3.44
Sr (0.0000, 0.0000, 0.7489)  12 Sn 3.43-3.45
Ac (0.0000, 0.0000, 0.0000)  12 Sn 3.44-3.49
Sn (0.5000, 0.5000, 0.0000)  4 Ac 3.44, 8 Sn 3.49
Sn (0.5000, 0.5000, 0.2515)  8 Sn 3.44-3.45, 4 Sr 3.44
Sn (0.5000, 0.5000, 0.5000)  8 Sn 3.44, 4 Sr 3.44
Sn (0.5000, 0.5000, 0.7485)  8 Sn 3.44-3.45, 4 Sr 3.44
Sn (0.5000, 0.0000, 0.1278)  2 Sr 3.43, 8 Sn 3.44-3.49, 2 Ac 3.49
Sn (0.5000, 0.0000, 0.3760)  8 Sn 3.44-3.45, 4 Sr 3.44-3.45
Sn (0.5000, 0.0000, 0.6240)  8 Sn 3.44-3.45, 4 Sr 3.44-3.45
Sn (0.5000, 0.0000, 0.8722)  2 Sr 3.43, 8 Sn 3.44-3.49, 2 Ac 3.49
Sn (0.0000, 0.5000, 0.1278)  2 Sr 3.43, 8 Sn 3.44-3.49, 2 Ac 3.49
Sn (0.0000, 0.5000, 0.3760)  4 Sr 3.44-3.45, 8 Sn 3.44-3.45
Sn (0.0000, 0.5000, 0.6240)  8 Sn 3.44-3.45, 4 Sr 3.44-3.45
Sn (0.0000, 0.5000, 0.8722)  2 Sr 3.43, 8 Sn 3.44-3.49, 2 Ac 3.49

- Total magnetization: 0.000 μB per cell
- ΔH_f (0 K): -0.419 eV/atom